A plane-wave DFT calculation with PBE-GGA was carried out for CrIn2Rh after structural relaxation.

Computed properties:
Fermi-level density of states = 2.9 states/eV/cell
VASP energy = -5.44 eV per atom
relative energy among the computed polymorphs = 0.870 eV/f.u.
crystal system = cubic

POSCAR file:
```
CrIn2Rh
1.0
4.670 0.000 0.000
2.335 4.044 0.000
2.335 1.348 3.813
Cr In Rh
1 2 1
direct
0.500 0.500 0.500
0.000 0.000 0.000
0.250 0.250 0.250
0.750 0.750 0.750
```

A plane-wave DFT calculation with PBE-GGA was carried out for ScBeMo2 after structural relaxation.

Computed properties:
Fermi-level density of states = 3.9 states/eV/cell
VASP energy = -7.94 eV per atom
crystal system = tetragonal

POSCAR file:
```
ScBeMo2
1.0
-0.649 3.097 -0.377
-3.100 -0.596 0.437
0.684 0.879 6.044
Sc Be Mo
1 1 2
direct
0.000 0.000 0.510
0.500 0.500 0.789
0.000 0.000 0.985
0.500 0.500 0.215
```

A plane-wave DFT calculation with PBE-GGA was carried out for Cs2ICl6F after structural relaxation.

Computed properties:
Fermi-level density of states = 0.0 states/eV/cell
VASP energy = -2.59 eV per atom
formation energy without anion corrections = -9.7 eV/f.u.
crystal system = tetragonal

POSCAR file:
```
Cs2ICl6F
1.0
-6.282 0.504 4.155
-2.915 -5.903 -3.691
-2.471 -6.012 3.850
Cs I F Cl
2 1 1 6
direct
0.750 0.250 0.500
0.250 0.750 0.500
0.000 0.000 0.000
0.500 0.500 0.000
0.240 0.240 0.520
0.760 0.760 0.480
0.240 0.240 0.000
0.760 0.760 0.000
0.760 0.240 0.000
0.240 0.760 0.000
```

A plane-wave DFT calculation with PBE-GGA was carried out for TcH2F after structural relaxation.

Computed properties:
Fermi-level density of states = 2.8 states/eV/cell
VASP energy = -4.35 eV per atom
relative energy among the computed polymorphs = 2.017 eV/f.u.
crystal system = cubic

POSCAR file:
```
TcH2F
1.0
0.000 2.446 2.446
2.446 0.000 2.446
2.446 2.446 0.000
H Tc F
2 1 1
direct
0.250 0.250 0.250
0.750 0.750 0.750
0.500 0.500 0.500
0.000 0.000 0.000
```

A plane-wave DFT calculation with PBE-GGA was carried out for Ac7Tl4Ni after structural relaxation.

Computed properties:
Fermi-level density of states = 13.1 states/eV/cell
VASP energy = -3.77 eV per atom
crystal system = monoclinic

POSCAR file:
```
Ac7Tl4Ni
1.0
5.761 0.000 0.000
2.880 9.547 0.188
2.880 0.634 8.488
Ac Tl Ni
7 4 1
direct
0.777 0.866 0.581
0.223 0.134 0.419
0.062 0.725 0.152
0.938 0.275 0.848
0.352 0.574 0.722
0.500 0.000 0.000
0.648 0.426 0.278
0.575 0.221 0.629
0.425 0.779 0.371
0.715 0.644 0.927
0.285 0.356 0.073
0.000 0.000 0.000
```

A plane-wave DFT calculation with PBE-GGA was carried out for Na2GaCoH6 after structural relaxation.

Computed properties:
Fermi-level density of states = 0.6 states/eV/cell
VASP energy = -3.39 eV per atom
crystal system = tetragonal

POSCAR file:
```
Na2GaCoH6
1.0
-3.711 -3.481 0.003
1.340 -1.434 -4.694
1.075 -4.862 -0.963
Na Ga Co H
2 1 1 6
direct
0.750 0.250 0.500
0.250 0.750 0.500
0.500 0.500 0.000
0.000 0.000 0.000
0.223 0.223 0.554
0.779 0.778 0.999
0.222 0.778 0.000
0.778 0.222 0.000
0.221 0.222 0.001
0.777 0.777 0.446
```

A plane-wave DFT calculation with PBE-GGA was carried out for LiTaFeSi after structural relaxation.

Computed properties:
VASP energy = -7.31 eV per atom
formation energy without anion corrections = -1.6 eV/f.u.
crystal system = cubic

POSCAR file:
```
LiTaFeSi
1.0
4.119 0.000 0.000
2.060 3.567 0.000
2.060 1.189 3.363
Si Li Fe Ta
1 1 1 1
direct
0.250 0.250 0.250
0.500 0.500 0.500
0.000 0.000 0.000
0.750 0.750 0.750
```

A plane-wave DFT calculation with PBE-GGA was carried out for RbPb2 after structural relaxation.

Computed properties:
Fermi-level density of states = 10.4 states/eV/cell
VASP energy = -2.89 eV per atom
crystal system = cubic

POSCAR file:
```
RbPb2
1.0
6.873 0.000 0.000
3.437 5.953 0.000
3.437 1.984 5.612
Pb Rb
4 2
direct
0.125 0.625 0.625
0.625 0.125 0.625
0.625 0.625 0.625
0.625 0.625 0.125
0.000 0.000 0.000
0.250 0.250 0.250
```